1.
SiCl2F: relaxed, GGA-PBEsol.

Calculated values
Its symmetry is I-42d (122). As for the formation energy from raw total energies: -311 meV/atom. As for the total energy: -12.933 eV/f.u. The density of states at the Fermi level comes out at 1.18 states/eV/atom.

Cell: 5.435 5.435 12.177 Å, 90.00 90.00 90.00°
Element x y z (fractional)
Si1 0.000 0.000 0.000
Si2 0.000 0.500 0.250
Si3 0.500 0.000 0.750
Si4 0.500 0.500 0.500
Cl1 0.173 0.250 0.125
Cl2 0.250 0.673 0.375
Cl3 0.250 0.827 0.875
Cl4 0.327 0.250 0.625
Cl5 0.673 0.750 0.625
Cl6 0.750 0.173 0.875
Cl7 0.750 0.327 0.375
Cl8 0.827 0.750 0.125
F1 0.000 0.000 0.500
F2 0.000 0.500 0.750
F3 0.500 0.000 0.250
F4 0.500 0.500 0.000

=====

2.
SiCl3F: relaxed, GGA-PBEsol.

Calculated values
Its symmetry is Pm-3m (221). As for the formation energy from raw total energies: -447 meV/atom. As for the total energy: -15.935 eV/f.u. The density of states at the Fermi level comes out at 1.56 states/eV/atom.

Cell: 4.519 4.519 4.519 Å, 90.00 90.00 90.00°
Element x y z (fractional)
Si1 0.000 0.000 0.000
Cl1 0.000 0.000 0.500
Cl2 0.000 0.500 0.000
Cl3 0.500 0.000 0.000
F1 0.500 0.500 0.500

=====

3.
Sn2Cl2F: relaxed, GGA-PBEsol.

Calculated values
Its symmetry is I4/mmm (139). As for the formation energy from raw total energies: -999 meV/atom. As for the total energy: -19.455 eV/f.u. The density of states at the Fermi level comes out at 0.52 states/eV/atom.

Cell: 5.759 5.759 7.678 Å, 90.00 90.00 90.00°
Element x y z (fractional)
Sn1 0.000 0.000 0.215
Sn2 0.000 0.000 0.785
Sn3 0.500 0.500 0.285
Sn4 0.500 0.500 0.715
Cl1 0.000 0.500 0.250
Cl2 0.000 0.500 0.750
Cl3 0.500 0.000 0.250
Cl4 0.500 0.000 0.750
F1 0.000 0.000 0.500
F2 0.500 0.500 0.000

=====

4.
SnClF: relaxed, GGA-PBEsol.

Calculated values
For the energy above the most stable polymorph in this dataset, the calculation gives 0.019 eV per formula unit. Its symmetry is P4/nmm (129). As for the formation energy from raw total energies: -1629 meV/atom. As for the total energy: -13.082 eV/f.u. The density of states at the Fermi level comes out at 0.00 states/eV/atom.

Cell: 3.969 3.969 7.220 Å, 90.00 90.00 90.00°
Element x y z (fractional)
Sn1 0.250 0.250 0.205
Sn2 0.750 0.750 0.795
Cl1 0.250 0.250 0.651
Cl2 0.750 0.750 0.349
F1 0.250 0.750 0.000
F2 0.750 0.250 0.000

=====

5.
SnClF: relaxed, GGA-PBEsol.

Calculated values
For the energy above the most stable polymorph in this dataset, the calculation gives 0.000 eV per formula unit. Its symmetry is Pnma (62). As for the formation energy from raw total energies: -1636 meV/atom. As for the total energy: -13.101 eV/f.u. The density of states at the Fermi level comes out at 0.00 states/eV/atom.

Cell: 6.141 4.272 9.883 Å, 90.00 90.00 90.00°
Element x y z (fractional)
Sn1 0.219 0.250 0.089
Sn2 0.281 0.750 0.589
Sn3 0.719 0.250 0.411
Sn4 0.781 0.750 0.911
Cl1 0.092 0.750 0.357
Cl2 0.408 0.250 0.857
Cl3 0.592 0.750 0.143
Cl4 0.908 0.250 0.643
F1 0.108 0.750 0.017
F2 0.392 0.250 0.517
F3 0.608 0.750 0.483
F4 0.892 0.250 0.983

=====

6.
TaSn2ClF: relaxed, GGA-PBEsol.

Calculated values
Its symmetry is P4/mmm (123). As for the formation energy from raw total energies: -137 meV/atom. As for the total energy: -25.688 eV/f.u. The density of states at the Fermi level comes out at 0.61 states/eV/atom.

Cell: 5.360 5.360 4.617 Å, 90.00 90.00 90.00°
Element x y z (fractional)
Ta1 0.000 0.000 0.000
Sn1 0.000 0.500 0.000
Sn2 0.500 0.000 0.000
Cl1 0.000 0.000 0.500
F1 0.500 0.500 0.500

=====

7.
SrClF: relaxed, GGA-PBEsol.

Calculated values
Its symmetry is P4/nmm (129). As for the formation energy from raw total energies: -3280 meV/atom. As for the total energy: -15.615 eV/f.u. The density of states at the Fermi level comes out at 0.00 states/eV/atom.

Cell: 4.087 4.087 6.917 Å, 90.00 90.00 90.00°
Element x y z (fractional)
Sr1 0.250 0.250 0.202
Sr2 0.750 0.750 0.798
Cl1 0.250 0.250 0.644
Cl2 0.750 0.750 0.356
F1 0.250 0.750 0.000
F2 0.750 0.250 0.000

=====

8.
TaClF8: relaxed, GGA-PBEsol.

Calculated values
Its symmetry is Pcca (54). As for the formation energy from raw total energies: -2220 meV/atom. As for the total energy: -52.174 eV/f.u. The density of states at the Fermi level comes out at 0.00 states/eV/atom.

Cell: 9.949 5.907 10.620 Å, 90.00 90.00 90.00°
Element x y z (fractional)
Ta1 0.000 0.116 0.250
Ta2 0.000 0.884 0.750
Ta3 0.500 0.116 0.750
Ta4 0.500 0.884 0.250
Cl1 0.250 0.500 0.050
Cl2 0.250 0.500 0.550
Cl3 0.750 0.500 0.450
Cl4 0.750 0.500 0.950
F1 0.088 0.148 0.407
F2 0.088 0.852 0.907
F3 0.120 0.103 0.691
F4 0.120 0.897 0.191
F5 0.122 0.362 0.191
F6 0.122 0.638 0.691
F7 0.152 0.385 0.947
F8 0.152 0.615 0.447
F9 0.348 0.385 0.447
F10 0.348 0.615 0.947
F11 0.378 0.362 0.691
F12 0.378 0.638 0.191
F13 0.380 0.103 0.191
F14 0.380 0.897 0.691
F15 0.412 0.148 0.907
F16 0.412 0.852 0.407
F17 0.588 0.148 0.593
F18 0.588 0.852 0.093
F19 0.620 0.103 0.309
F20 0.620 0.897 0.809
F21 0.622 0.362 0.809
F22 0.622 0.638 0.309
F23 0.652 0.385 0.053
F24 0.652 0.615 0.553
F25 0.848 0.385 0.553
F26 0.848 0.615 0.053
F27 0.878 0.362 0.309
F28 0.878 0.638 0.809
F29 0.880 0.103 0.809
F30 0.880 0.897 0.309
F31 0.912 0.148 0.093
F32 0.912 0.852 0.593